Record 1
Material: TaNb
Method: DFT, PBE
State: optimized geometry

Structure (CIF):
```
data_TaNb
_chemical_formula_sum 'Ta1 Nb1'
_cell_length_a 2.8944
_cell_length_b 2.8944
_cell_length_c 5.1567
_cell_angle_alpha 90.00
_cell_angle_beta 90.00
_cell_angle_gamma 120.00
_space_group_name_H-M_alt 'P -6 m 2'
_space_group_IT_number 187
_space_group_name_Hall 'P -6 2'
loop_
_atom_site_label
_atom_site_type_symbol
_atom_site_fract_x
_atom_site_fract_y
_atom_site_fract_z
Ta1 Ta 0.0000 0.0000 0.0000
Nb1 Nb 0.3333 0.6667 0.5000
```

Computed properties:
energy of formation = 0.289 eV/atom
polymorph energy (0 for the lowest one) = 288.4 meV per atom

=====

Record 2
Material: PmB4Pb
Method: DFT, PBE
State: optimized geometry

Structure (CIF):
```
data_PmB4Pb
_chemical_formula_sum 'Pm1 B4 Pb1'
_cell_length_a 3.2674
_cell_length_b 3.2674
_cell_length_c 8.7017
_cell_angle_alpha 90.00
_cell_angle_beta 90.00
_cell_angle_gamma 120.00
_space_group_name_H-M_alt 'P 6/m m m'
_space_group_IT_number 191
_space_group_name_Hall '-P 6 2'
loop_
_atom_site_label
_atom_site_type_symbol
_atom_site_fract_x
_atom_site_fract_y
_atom_site_fract_z
Pm1 Pm 0.0000 0.0000 0.0000
B1 B 0.3333 0.6667 0.2310
Pb1 Pb 0.0000 0.0000 0.5000
```

Computed properties:
polymorph energy (0 for the lowest one) = 73.7 meV per atom

=====

Record 3
Material: Hf3CdC
Method: DFT, PBE
State: optimized geometry

Structure (CIF):
```
data_Hf3CdC
_chemical_formula_sum 'Hf3 Cd1 C1'
_cell_length_a 4.509
_cell_length_b 4.509
_cell_length_c 4.509
_cell_angle_alpha 90.00
_cell_angle_beta 90.00
_cell_angle_gamma 90.00
_space_group_name_H-M_alt 'P m -3 m'
_space_group_IT_number 221
_space_group_name_Hall '-P 4 2 3'
loop_
_atom_site_label
_atom_site_type_symbol
_atom_site_fract_x
_atom_site_fract_y
_atom_site_fract_z
Hf1 Hf 0.000 0.000 0.500
Cd1 Cd 0.500 0.500 0.500
C1 C 0.000 0.000 0.000
```

=====

no.,total moment (μB/cell),total energy (eV for the cell shown)
1,0.0,-21.4
2,0.0,-34.2
3,0.0,-42.1